[1]
## NbTlS2 (GGA-PBE)

Data for a relaxed NbTlS2 crystal.

```
data_NbTlS2
_chemical_formula_sum 'Nb4 Tl4 S8'
_cell_length_a 6.746
_cell_length_b 9.238
_cell_length_c 7.107
_cell_angle_alpha 90.00
_cell_angle_beta 90.00
_cell_angle_gamma 90.00
_symmetry_space_group_name_H-M 'P n a 21'
_symmetry_Int_Tables_number 33
_symmetry_space_group_name_Hall 'P 2c -2n'
loop_
_atom_site_label
_atom_site_type_symbol
_atom_site_fract_x
_atom_site_fract_y
_atom_site_fract_z
_atom_site_occupancy
Nb1 Nb 0.115 0.137 0.000 1
Tl1 Tl 0.097 0.707 0.954 1
S1 S 0.008 0.011 0.738 1
S2 S 0.035 0.630 0.509 1
```

Results
ΔE_f (raw) = -0.474 eV/atom

=====

[2]
## Nb2TlS (GGA-PBE)

Data for a relaxed Nb2TlS crystal.

```
data_Nb2TlS
_chemical_formula_sum 'Nb8 Tl4 S4'
_cell_length_a 4.554
_cell_length_b 4.554
_cell_length_c 17.691
_cell_angle_alpha 90.00
_cell_angle_beta 90.00
_cell_angle_gamma 90.00
_symmetry_space_group_name_H-M 'I -4 2 d'
_symmetry_Int_Tables_number 122
_symmetry_space_group_name_Hall 'I -4 2bw'
loop_
_atom_site_label
_atom_site_type_symbol
_atom_site_fract_x
_atom_site_fract_y
_atom_site_fract_z
_atom_site_occupancy
Nb1 Nb 0.125 0.250 0.125 1
Tl1 Tl 0.000 0.000 0.500 1
S1 S 0.000 0.000 0.000 1
```

Results
ΔE_f (raw) = 0.427 eV/atom
energy above the lowest structure with this stoichiometry = 65 kJ/mol of formula units

=====

[3]
## NbTlS2 (GGA-PBE)

Data for a relaxed NbTlS2 crystal.

```
data_NbTlS2
_chemical_formula_sum 'Nb3 Tl3 S6'
_cell_length_a 3.7198
_cell_length_b 3.7198
_cell_length_c 25.6520
_cell_angle_alpha 90.00
_cell_angle_beta 90.00
_cell_angle_gamma 120.00
_symmetry_space_group_name_H-M 'R -3 m'
_symmetry_Int_Tables_number 166
_symmetry_space_group_name_Hall '-R 3 2"'
loop_
_atom_site_label
_atom_site_type_symbol
_atom_site_fract_x
_atom_site_fract_y
_atom_site_fract_z
_atom_site_occupancy
Nb1 Nb 0.0000 0.0000 0.0000 1
Tl1 Tl 0.0000 0.0000 0.5000 1
S1 S 0.0000 0.0000 0.0890 1
```

Results
ΔE_f (raw) = 0.210 eV/atom

=====

[4]
## NbTlS2 (GGA-PBE)

Data for a relaxed NbTlS2 crystal.

```
data_NbTlS2
_chemical_formula_sum 'Nb4 Tl4 S8'
_cell_length_a 6.736
_cell_length_b 6.736
_cell_length_c 6.736
_cell_angle_alpha 90.00
_cell_angle_beta 90.00
_cell_angle_gamma 90.00
_symmetry_space_group_name_H-M 'F m -3 m'
_symmetry_Int_Tables_number 225
_symmetry_space_group_name_Hall '-F 4 2 3'
loop_
_atom_site_label
_atom_site_type_symbol
_atom_site_fract_x
_atom_site_fract_y
_atom_site_fract_z
_atom_site_occupancy
Nb1 Nb 0.000 0.000 0.000 1
Tl1 Tl 0.000 0.000 0.500 1
S1 S 0.250 0.250 0.250 1
```

Results
ΔE_f (raw) = 0.010 eV/atom

=====

[5]
## NbTlS2 (GGA-PBE)

Data for a relaxed NbTlS2 crystal.

```
data_NbTlS2
_chemical_formula_sum 'Nb3 Tl3 S6'
_cell_length_a 3.3840
_cell_length_b 3.3840
_cell_length_c 28.0045
_cell_angle_alpha 90.00
_cell_angle_beta 90.00
_cell_angle_gamma 120.00
_symmetry_space_group_name_H-M 'R -3 m'
_symmetry_Int_Tables_number 166
_symmetry_space_group_name_Hall '-R 3 2"'
loop_
_atom_site_label
_atom_site_type_symbol
_atom_site_fract_x
_atom_site_fract_y
_atom_site_fract_z
_atom_site_occupancy
Nb1 Nb 0.0000 0.0000 0.0000 1
Tl1 Tl 0.0000 0.0000 0.5000 1
S1 S 0.0000 0.0000 0.3892 1
```

Results
ΔE_f (raw) = -0.791 eV/atom

=====

[6]
## NbTlS2 (GGA-PBE)

Data for a relaxed NbTlS2 crystal.

```
data_NbTlS2
_chemical_formula_sum 'Nb4 Tl4 S8'
_cell_length_a 3.601
_cell_length_b 22.432
_cell_length_c 4.856
_cell_angle_alpha 90.00
_cell_angle_beta 90.00
_cell_angle_gamma 90.00
_symmetry_space_group_name_H-M 'C m c m'
_symmetry_Int_Tables_number 63
_symmetry_space_group_name_Hall '-C 2c 2'
loop_
_atom_site_label
_atom_site_type_symbol
_atom_site_fract_x
_atom_site_fract_y
_atom_site_fract_z
_atom_site_occupancy
Nb1 Nb 0.000 0.053 0.250 1
Tl1 Tl 0.000 0.313 0.250 1
S1 S 0.000 0.058 0.750 1
S2 S 0.000 0.158 0.250 1
```

Results
ΔE_f (raw) = -0.324 eV/atom

=====

[7]
## NbTlS (GGA-PBE)

Data for a relaxed NbTlS crystal.

```
data_NbTlS
_chemical_formula_sum 'Nb2 Tl2 S2'
_cell_length_a 3.333
_cell_length_b 4.678
_cell_length_c 8.972
_cell_angle_alpha 90.00
_cell_angle_beta 100.68
_cell_angle_gamma 90.00
_symmetry_space_group_name_H-M 'P 1 21/m 1'
_symmetry_Int_Tables_number 11
_symmetry_space_group_name_Hall '-P 2yb'
loop_
_atom_site_label
_atom_site_type_symbol
_atom_site_fract_x
_atom_site_fract_y
_atom_site_fract_z
_atom_site_occupancy
Nb1 Nb 0.218 0.250 0.435 1
Tl1 Tl 0.435 0.750 0.874 1
S1 S 0.178 0.750 0.356 1
```

Results
ΔE_f (raw) = -0.536 eV/atom

=====

[8]
## NbTlS2 (GGA-PBE)

Data for a relaxed NbTlS2 crystal.

```
data_NbTlS2
_chemical_formula_sum 'Nb4 Tl4 S8'
_cell_length_a 7.058
_cell_length_b 11.680
_cell_length_c 6.021
_cell_angle_alpha 90.00
_cell_angle_beta 118.13
_cell_angle_gamma 90.00
_symmetry_space_group_name_H-M 'C 1 2/c 1'
_symmetry_Int_Tables_number 15
_symmetry_space_group_name_Hall '-C 2yc'
loop_
_atom_site_label
_atom_site_type_symbol
_atom_site_fract_x
_atom_site_fract_y
_atom_site_fract_z
_atom_site_occupancy
Nb1 Nb 0.000 0.004 0.250 1
Tl1 Tl 0.000 0.357 0.750 1
S1 S 0.207 0.114 0.622 1
```

Results
ΔE_f (raw) = -0.602 eV/atom